An optimized crystal structure of KBeCo2F8. Source: Alexandria via LeMat-Bulk, functional PBE+U.

Computed properties:
* space group: P2/m
* total energy: -57.41 eV per cell
* Fermi-level density of states: 0.190 states/eV/atom

Cell lengths 4.922, 4.906, 6.465 Å; angles 89.99, 89.99, 80.40 degrees
Last column: magnetic moment on the atom in μB.
Atoms (fractional coordinates):
1 K 0.000 0.000 0.500  0.00
2 F 0.812 0.190 0.819  0.06
3 F 0.812 0.190 0.181  0.06
4 F 0.346 0.343 0.500  0.12
5 Co 0.500 0.500 0.236  3.05
6 F 0.188 0.810 0.819  0.06
7 F 0.675 0.678 0.000  0.15
8 F 0.188 0.810 0.181  0.06
9 F 0.654 0.657 0.500  0.12
10 F 0.325 0.322 0.000  0.15
11 Be 0.000 0.000 0.000  0.01
12 Co 0.500 0.500 0.764  3.05